A plane-wave DFT calculation with PBE was carried out for a relaxed Lu2Au crystal.

```
Lu2Au
1.0
0.000 6.178 6.178
6.178 0.000 6.178
6.178 6.178 0.000
Lu Au
4 2
Direct
0.000 0.000 0.000
0.000 0.000 0.500
0.000 0.500 0.000
0.500 0.000 0.000
0.125 0.125 0.125
0.875 0.875 0.875
```

Energy relative to the elements ... 0.868 eV per atom
Calculated volume ... 78.58 A^3/atom
Total magnetic moment ... 0.5 μB per formula unit